Entry from Alexandria: a geometry-optimized PaFeF2 structure (PBE with a Hubbard U).

a = 3.129 Å, b = 3.129 Å, c = 8.875 Å
α = 79.85°, β = 79.85°, γ = 60.00°
Positions (direct):
Fe1 0.000 0.000 0.000
F1 0.102 0.102 0.693
F2 0.898 0.898 0.307
Pa1 0.500 0.500 0.500

Properties
SG	R-3m
total moment	3.7	μB per formula unit
E	-6.20	eV/atom